DFT (PBE-GGA) results for a geometry-optimized NaLuNiTe3 structure.

Lattice parameters (Å, degrees): 8.997 4.148 9.668 90.00 107.40 90.00
Atoms (fractional coordinates):
Na 0.200 0.250 0.234
Na 0.800 0.750 0.766
Lu 0.322 0.750 0.851
Lu 0.678 0.250 0.149
Ni 0.095 0.250 0.599
Ni 0.905 0.750 0.401
Te 0.086 0.250 0.861
Te 0.198 0.750 0.516
Te 0.445 0.750 0.177
Te 0.555 0.250 0.823
Te 0.802 0.250 0.484
Te 0.914 0.750 0.139

Results
The space group is No. 11.

***

DFT (PBE-GGA) results for a geometry-optimized NaLuNiTe3 structure.

Lattice parameters (Å, degrees): 10.659 4.128 15.010 90.00 90.00 90.00
Atoms (fractional coordinates):
Na 0.243 0.250 0.004
Na 0.257 0.750 0.504
Na 0.743 0.250 0.496
Na 0.757 0.750 0.996
Lu 0.004 0.750 0.750
Lu 0.496 0.250 0.250
Lu 0.504 0.750 0.750
Lu 0.996 0.250 0.250
Ni 0.246 0.750 0.236
Ni 0.254 0.250 0.736
Ni 0.746 0.750 0.264
Ni 0.754 0.250 0.764
Te 0.077 0.750 0.117
Te 0.085 0.250 0.616
Te 0.246 0.250 0.340
Te 0.254 0.750 0.840
Te 0.415 0.750 0.116
Te 0.423 0.250 0.617
Te 0.577 0.750 0.383
Te 0.585 0.250 0.884
Te 0.746 0.250 0.160
Te 0.754 0.750 0.660
Te 0.915 0.750 0.384
Te 0.923 0.250 0.883

Results
The space group is No. 62.

***

Total magnetic moment across the listed records, respectively: 0.01 0.00 μB/f.u..
Distance to the lowest polymorph of the same formula across the listed records, respectively: 0.000 0.017 eV/atom.
Total DFT energy (no corrections) across the listed records, respectively: -4.286 -4.269 eV per atom.